Model a:
Here is an optimized crystal structure of BeTeCl3 from Alexandria via LeMat-Bulk. Energies are from PBE.

Results
* magnetic moment: 0.27 μB/f.u.

abc: 5.3775 5.3775 5.3775
angles: 90.00 90.00 90.00
Closest atoms and distances in Å follow each position.
Element x y z (fractional)
Be (0.5000, 0.5000, 0.5000)  12 Cl 3.80
Cl (0.0000, 0.0000, 0.5000)  2 Te 2.69
Cl (0.0000, 0.5000, 0.0000)  2 Te 2.69
Cl (0.5000, 0.0000, 0.0000)  2 Te 2.69
Te (0.0000, 0.0000, 0.0000)  6 Cl 2.69

=====

Model b:
Here is an optimized crystal structure of BeTeCl3 from Alexandria via LeMat-Bulk. Energies are from PBE.

Results
* magnetic moment: 0.00 μB/f.u.

abc: 4.6252 4.6252 4.6252
angles: 90.00 90.00 90.00
Closest atoms and distances in Å follow each position.
Element x y z (fractional)
Te (0.5000, 0.5000, 0.5000)  12 Cl 3.27
Cl (0.0000, 0.0000, 0.5000)  2 Be 2.31
Cl (0.0000, 0.5000, 0.0000)  2 Be 2.31
Cl (0.5000, 0.0000, 0.0000)  2 Be 2.31
Be (0.0000, 0.0000, 0.0000)  6 Cl 2.31

=====

It turns out model b is the most stable, with the second structure 597 meV/atom higher.

=====

Model a:
Here is an optimized crystal structure of TiBe2TeCl from Alexandria via LeMat-Bulk. Energies are from PBE.

Results
* magnetic moment: 0.00 μB/f.u.

abc: 5.0688 5.0273 5.0688
angles: 90.00 90.00 90.00
Closest atoms and distances in Å follow each position.
Element x y z (fractional)
Be (0.5000, 0.0000, 0.0000)  2 Ti 2.53
Be (0.0000, 0.0000, 0.5000)  2 Ti 2.53
Ti (0.0000, 0.0000, 0.0000)  2 Te 2.51, 4 Be 2.53
Cl (0.5000, 0.5000, 0.5000)  8 Be 3.57, 4 Te 3.58
Te (0.0000, 0.5000, 0.0000)  2 Ti 2.51

=====

Model b:
Here is an optimized crystal structure of TiBe2TeCl from Alexandria via LeMat-Bulk. Energies are from PBE.

Results
* magnetic moment: 0.00 μB/f.u.

abc: 4.3932 6.2848 4.3932
angles: 90.00 90.00 90.00
Closest atoms and distances in Å follow each position.
Element x y z (fractional)
Te (0.0000, 0.0000, 0.0000)  4 Be 2.20
Be (0.5000, 0.0000, 0.0000)  2 Te 2.20
Be (0.0000, 0.0000, 0.5000)  2 Te 2.20
Ti (0.5000, 0.5000, 0.5000)  4 Cl 3.11
Cl (0.0000, 0.5000, 0.0000)  4 Ti 3.11, 2 Te 3.14

=====

Model c:
Here is an optimized crystal structure of TiBe2TeCl from Alexandria via LeMat-Bulk. Energies are from PBE.

Results
* magnetic moment: 0.00 μB/f.u.

abc: 4.6720 4.6720 5.2465
angles: 90.00 90.00 90.00
Closest atoms and distances in Å follow each position.
Element x y z (fractional)
Be (0.5000, 0.0000, 0.0000)  2 Te 2.34
Be (0.0000, 0.5000, 0.0000)  2 Te 2.34
Te (0.0000, 0.0000, 0.0000)  4 Be 2.34
Cl (0.5000, 0.5000, 0.5000)  4 Ti 3.30, 8 Be 3.51
Ti (0.0000, 0.0000, 0.5000)  2 Te 2.62

=====

It turns out model a is the most stable, with the second structure 78 meV/atom higher.

=====

Model a:
Here is an optimized crystal structure of TiBe2Cl from Alexandria via LeMat-Bulk. Energies are from PBE.

Results
* magnetic moment: 0.00 μB/f.u.

abc: 6.8379 6.8379 5.3682
angles: 50.44 50.44 90.00
Closest atoms and distances in Å follow each position.
Element x y z (fractional)
Cl (0.2500, 0.7500, 0.5000)  2 Ti 2.33, 4 Be 2.36
Cl (0.5000, 0.5000, 0.0000)  2 Ti 2.33, 4 Be 2.36
Be (0.5963, 0.1250, 0.2500)  2 Cl 2.36, 2 Be 2.37, 2 Ti 2.63
Be (0.1537, 0.6250, 0.2500)  2 Cl 2.36, 2 Be 2.37, 2 Ti 2.63
Be (0.8750, 0.8463, 0.7500)  2 Cl 2.36, 2 Be 2.37, 2 Ti 2.63
Be (0.3750, 0.4037, 0.7500)  2 Cl 2.36, 2 Be 2.37, 2 Ti 2.63
Ti (0.0000, 0.0000, 0.0000)  2 Cl 2.33
Ti (0.7500, 0.2500, 0.5000)  2 Cl 2.33

=====

Model b:
Here is an optimized crystal structure of TiBe2Cl from Alexandria via LeMat-Bulk. Energies are from PBE.

Results
* magnetic moment: 1.36 μB/f.u.

abc: 4.3638 4.3638 4.3638
angles: 60.00 60.00 60.00
Closest atoms and distances in Å follow each position.
Element x y z (fractional)
Be (0.7500, 0.7500, 0.7500)  4 Cl 2.67, 4 Ti 2.67
Be (0.2500, 0.2500, 0.2500)  4 Cl 2.67, 4 Ti 2.67
Ti (0.5000, 0.5000, 0.5000)  8 Be 2.67
Cl (0.0000, 0.0000, 0.0000)  8 Be 2.67

=====

It turns out model a is the most stable, with the second structure 609 meV/atom higher.

=====

Model a:
Here is an optimized crystal structure of TiBe3Cl from Alexandria via LeMat-Bulk. Energies are from PBE.

Results
* magnetic moment: 0.00 μB/f.u.

abc: 4.8490 4.8490 4.8490
angles: 90.00 90.00 90.00
Closest atoms and distances in Å follow each position.
Element x y z (fractional)
Ti (0.0000, 0.0000, 0.0000)  6 Be 2.42
Be (0.5000, 0.0000, 0.0000)  2 Ti 2.42
Be (0.0000, 0.5000, 0.0000)  2 Ti 2.42
Be (0.0000, 0.0000, 0.5000)  2 Ti 2.42
Cl (0.5000, 0.5000, 0.5000)  12 Be 3.43

=====

Model b:
Here is an optimized crystal structure of TiBe3Cl from Alexandria via LeMat-Bulk. Energies are from PBE.

Results
* magnetic moment: 2.18 μB/f.u.

abc: 4.1569 4.1569 4.1569
angles: 90.00 90.00 90.00
Closest atoms and distances in Å follow each position.
Element x y z (fractional)
Be (0.5000, 0.0000, 0.0000)  2 Cl 2.08
Be (0.0000, 0.5000, 0.0000)  2 Cl 2.08
Be (0.0000, 0.0000, 0.5000)  2 Cl 2.08
Ti (0.5000, 0.5000, 0.5000)  12 Be 2.94
Cl (0.0000, 0.0000, 0.0000)  6 Be 2.08

=====

It turns out model b is the most stable, with the second structure 568 meV/atom higher.